Record 1
# LaZnCd

LaZnCd after structural relaxation (PBEsol, Alexandria via LeMat-Bulk).

Lattice parameters (Å, degrees): 4.8414 4.8414 3.4587 90.00 90.00 120.00
Last column: nearest neighbours and their distance in Å.
Fractional positions:
La (0.0000, 0.0000, 0.0000)  6 Cd 3.29, 6 Zn 3.29, 2 La 3.46
Zn (0.3333, 0.6667, 0.5000)  3 Cd 2.80
Cd (0.6667, 0.3333, 0.5000)  3 Zn 2.80

Summary:
- Energy of formation: -333 meV/atom
- Space-group type: P-6m2 (187)
- Crystal system: hexagonal

***

Record 2
# CrTeN2F

CrTeN2F after structural relaxation (PBEsol, Alexandria via LeMat-Bulk).

Lattice parameters (Å, degrees): 3.9109 3.9109 3.7612 90.00 90.00 90.00
Last column: nearest neighbours and their distance in Å.
Fractional positions:
Cr (0.0000, 0.0000, 0.0000)  2 F 1.88, 4 N 1.96
Te (0.5000, 0.5000, 0.5000)  8 N 2.71, 4 F 2.77
N (0.0000, 0.5000, 0.0000)  2 Cr 1.96
N (0.5000, 0.0000, 0.0000)  2 Cr 1.96
F (0.0000, 0.0000, 0.5000)  2 Cr 1.88

Summary:
- Space-group type: P4/mmm (123)
- ΔE_f (raw): -17 meV/atom
- Crystal system: tetragonal

***

Record 3
# ZrPbAu2

ZrPbAu2 after structural relaxation (PBEsol, Alexandria via LeMat-Bulk).

Lattice parameters (Å, degrees): 8.8978 8.8978 8.8978 21.85 21.85 21.85
Last column: nearest neighbours and their distance in Å.
Fractional positions:
Zr (0.0000, 0.0000, 0.0000)  3 Au 2.78
Pb (0.7627, 0.7627, 0.7627)  3 Au 2.93, 3 Zr 3.17
Au (0.2570, 0.2570, 0.2570)  3 Zr 2.78, 3 Au 2.79
Au (0.5136, 0.5136, 0.5136)  3 Au 2.79, 3 Pb 2.93

Summary:
- Energy of formation: -29 meV/atom
- Space-group type: R3m (160)
- Crystal system: trigonal

***

Record 4
# TaBe2Tc

TaBe2Tc after structural relaxation (PBEsol, Alexandria via LeMat-Bulk).

Lattice parameters (Å, degrees): 3.9940 3.9940 3.0591 90.00 90.00 100.88
Last column: nearest neighbours and their distance in Å.
Fractional positions:
Ta (0.0000, 0.0000, 0.0000)  8 Be 2.52, 2 Tc 2.54
Be (0.0000, 0.5000, 0.5000)  4 Ta 2.52, 4 Tc 2.52, 2 Be 2.54
Be (0.5000, 0.0000, 0.5000)  4 Ta 2.52, 4 Tc 2.52, 2 Be 2.54
Tc (0.5000, 0.5000, 0.0000)  8 Be 2.52, 2 Ta 2.54

Summary:
- Energy of formation: -6 meV/atom
- Space-group type: Cmmm (65)
- Crystal system: orthorhombic
- Offset from the most stable computed form: 33.5 kJ per mole of atoms

***

Record 5
# ZrScRe4

ZrScRe4 after structural relaxation (PBEsol, Alexandria via LeMat-Bulk).

Lattice parameters (Å, degrees): 5.2423 5.2423 5.2423 60.00 60.00 60.00
Last column: nearest neighbours and their distance in Å.
Fractional positions:
Zr (0.0000, 0.0000, 0.0000)  12 Re 3.07, 4 Sc 3.21
Sc (0.7500, 0.7500, 0.7500)  12 Re 3.07, 4 Zr 3.21
Re (0.3751, 0.3751, 0.3751)  6 Re 2.62
Re (0.3751, 0.3751, 0.8748)  6 Re 2.62
Re (0.3751, 0.8748, 0.3751)  6 Re 2.62
Re (0.8748, 0.3751, 0.3751)  6 Re 2.62

Summary:
- Energy of formation: -313 meV/atom
- Space-group type: F-43m (216)
- Crystal system: cubic

***

Record 6
# ScCr3F

ScCr3F after structural relaxation (PBEsol, Alexandria via LeMat-Bulk).

Lattice parameters (Å, degrees): 4.6614 4.6614 4.6614 90.00 90.00 90.00
Last column: nearest neighbours and their distance in Å.
Fractional positions:
Sc (0.0000, 0.0000, 0.0000)  6 Cr 2.33
Cr (0.0000, 0.0000, 0.5000)  2 Sc 2.33
Cr (0.0000, 0.5000, 0.0000)  2 Sc 2.33
Cr (0.5000, 0.0000, 0.0000)  2 Sc 2.33
F (0.5000, 0.5000, 0.5000)  12 Cr 3.30

Summary:
- Space-group type: Pm-3m (221)
- ΔE_f (raw): 1892 meV/atom
- Crystal system: cubic

***

Record 7
# Y2ScOs

Y2ScOs after structural relaxation (PBEsol, Alexandria via LeMat-Bulk).

Lattice parameters (Å, degrees): 6.0839 6.0839 6.0839 146.75 132.06 59.59
Last column: nearest neighbours and their distance in Å.
Fractional positions:
Y (0.2020, 0.2020, 0.0000)  2 Os 2.75
Y (0.7980, 0.7980, 0.0000)  2 Os 2.75
Sc (0.5000, 0.0000, 0.5000)  4 Os 3.02, 4 Y 3.26
Os (0.0000, 0.5000, 0.5000)  4 Y 2.75, 4 Sc 3.02

Summary:
- Energy of formation: -78 meV/atom
- Space-group type: Immm (71)
- Crystal system: orthorhombic
- Offset from the most stable computed form: 8.4 kJ per mole of atoms

***

Record 8
# Na2YTaTc

Na2YTaTc after structural relaxation (PBEsol, Alexandria via LeMat-Bulk).

Lattice parameters (Å, degrees): 5.4124 5.4124 5.1722 90.00 90.00 90.00
Last column: nearest neighbours and their distance in Å.
Fractional positions:
Na (0.0000, 0.5000, 0.0000)  2 Ta 2.71
Na (0.5000, 0.0000, 0.0000)  2 Ta 2.71
Y (0.0000, 0.0000, 0.5000)  2 Ta 2.59
Ta (0.0000, 0.0000, 0.0000)  2 Y 2.59, 4 Na 2.71
Tc (0.5000, 0.5000, 0.5000)  8 Na 3.74, 4 Y 3.83

Summary:
- Energy of formation: 2297 meV/atom
- Space-group type: P4/mmm (123)
- Crystal system: tetragonal

***

| no. | magnetic moment (μB/f.u.) |
| --- | --- |
| 1 | 0.00 |
| 2 | 2.17 |
| 3 | 0.00 |
| 4 | 0.00 |
| 5 | 0.00 |
| 6 | 10.59 |
| 7 | 0.00 |
| 8 | 2.55 |